Record 1
Co2IrPt at its PBEsol-relaxed geometry. Source: Alexandria via LeMat-Bulk, functional meta-GGA SCAN.

Cell lengths 3.5675, 3.7403, 3.7403 Å; angles 90.00, 90.00, 90.00 degrees
Each line ends with the local moment (μB).
Positions (direct):
Pt 0.5000 0.0000 0.0000  0.29
Ir 0.5000 0.5000 0.5000  0.83
Co 0.0000 0.0000 0.5000  2.10
Co 0.0000 0.5000 0.0000  2.10

Results
* E_form: -41 meV/atom
* relative energy among the computed polymorphs: 0 meV per atom

Record 2
RbCoIr2 at its PBEsol-relaxed geometry. Source: Alexandria via LeMat-Bulk, functional meta-GGA SCAN.

Cell lengths 4.9564, 4.9564, 8.6790 Å; angles 106.59, 106.59, 90.00 degrees
Each line ends with the local moment (μB).
Positions (direct):
Ir 0.6250 0.8750 0.2500  0.39
Ir 0.1250 0.3750 0.7500  0.39
Ir 0.6250 0.3750 0.2500  0.39
Ir 0.6250 0.3750 0.7500  0.39
Co 0.7500 0.2500 0.5000  1.90
Co 0.5000 0.5000 0.0000  1.90
Rb 0.0000 0.0000 0.0000  0.00
Rb 0.2500 0.7500 0.5000  0.00

Results
* E_form: 977 meV/atom

Record 3
CoRe2Ir at its PBEsol-relaxed geometry. Source: Alexandria via LeMat-Bulk, functional meta-GGA SCAN.

Cell lengths 2.6809, 2.6809, 8.7824 Å; angles 81.22, 81.22, 60.00 degrees
Each line ends with the local moment (μB).
Positions (direct):
Re 0.2463 0.2463 0.2611  0.04
Re 0.7537 0.7537 0.7389  0.04
Ir 0.0000 0.0000 0.0000  -0.01
Co 0.5000 0.5000 0.5000  1.62

Results
* E_form: 72 meV/atom
* relative energy among the computed polymorphs: 226 meV per atom

Among the records above, which one has the lowest E_form?
Co2IrPt

Which formula does entry 1 have?
Co2IrPt

Which value of E_form does entry 3 give?
72 meV/atom